B2C after structural relaxation, computed with PBE.

The total magnetization is 0.00 μB per formula unit. The formation energy is 489.5 meV per atom.

The space group is Cm (No. 8) and the conventional cell measures 12.317, 2.702 and 5.985 Å, with angles of 90.00, 108.73 and 90.00 degrees. The inequivalent atoms are B at (0.000, 0.000, 0.000), B at (0.021, 0.000, 0.494), B at (0.089, 0.500, 0.124), B at (0.212, 0.500, 0.794), B at (0.249, 0.000, 0.449), B at (0.359, 0.000, 0.734), B at (0.381, 0.000, 0.115), B at (0.447, 0.500, 0.690), C at (0.113, 0.500, 0.550), C at (0.186, 0.500, 0.363), C at (0.273, 0.000, 0.895) and C at (0.444, 0.500, 0.218).